A plane-wave DFT calculation with GGA-PBE was carried out for SrHf4S8 after structural relaxation.

Properties
Energy relative to the elements, uncorrected (eV per atom): -1.56
E above lowest polymorph (meV/atom): 130.3

```
data_SrHf4S8
_chemical_formula_sum 'Sr4 Hf16 S32'
_space_group_name_H-M_alt 'F -4 3 m'
_space_group_IT_number 216
_space_group_name_Hall 'F -4 2 3'
_cell_length_a 10.886
_cell_length_b 10.886
_cell_length_c 10.886
_cell_angle_alpha 90.00
_cell_angle_beta 90.00
_cell_angle_gamma 90.00
loop_
_atom_site_label
_atom_site_fract_x
_atom_site_fract_y
_atom_site_fract_z
Sr1 0.000 0.000 0.000
Hf1 0.118 0.118 0.618
S1 0.116 0.116 0.384
S2 0.144 0.144 0.856
```

A plane-wave DFT calculation with GGA-PBE was carried out for Co2TcAs2 after structural relaxation.

Properties
Formation energy (eV/atom): 0.04
E above lowest polymorph (meV/atom): 0.0

```
data_Co2TcAs2
_chemical_formula_sum 'Co4 Tc2 As4'
_space_group_name_H-M_alt 'P 4/m b m'
_space_group_IT_number 127
_space_group_name_Hall '-P 4 2ab'
_cell_length_a 6.796
_cell_length_b 6.796
_cell_length_c 2.854
_cell_angle_alpha 90.00
_cell_angle_beta 90.00
_cell_angle_gamma 90.00
loop_
_atom_site_label
_atom_site_fract_x
_atom_site_fract_y
_atom_site_fract_z
Co1 0.139 0.361 0.000
Tc1 0.000 0.000 0.500
As1 0.157 0.657 0.500
```

A plane-wave DFT calculation with GGA-PBE was carried out for Zr5TaN6 after structural relaxation.

Properties
Energy relative to the elements, uncorrected (eV per atom): -1.55

```
data_Zr5TaN6
_chemical_formula_sum 'Zr10 Ta2 N12'
_space_group_name_H-M_alt 'C 1 2/m 1'
_space_group_IT_number 12
_space_group_name_Hall '-C 2y'
_cell_length_a 5.605
_cell_length_b 9.726
_cell_length_c 5.618
_cell_angle_alpha 90.00
_cell_angle_beta 109.71
_cell_angle_gamma 90.00
loop_
_atom_site_label
_atom_site_fract_x
_atom_site_fract_y
_atom_site_fract_z
Zr1 0.000 0.000 0.000
Zr2 0.000 0.167 0.500
Zr3 0.000 0.332 0.000
Ta1 0.000 0.500 0.500
N1 0.243 0.500 0.253
N2 0.244 0.337 0.743
```

A plane-wave DFT calculation with GGA-PBE was carried out for Pr5Zn5Ni2 after structural relaxation.

Properties
Formation energy (eV/atom): -0.28

```
data_Pr5Zn5Ni2
_chemical_formula_sum 'Pr10 Zn10 Ni4'
_space_group_name_H-M_alt 'C 1 2/m 1'
_space_group_IT_number 12
_space_group_name_Hall '-C 2y'
_cell_length_a 15.667
_cell_length_b 4.367
_cell_length_c 11.249
_cell_angle_alpha 90.00
_cell_angle_beta 132.64
_cell_angle_gamma 90.00
loop_
_atom_site_label
_atom_site_fract_x
_atom_site_fract_y
_atom_site_fract_z
Pr1 0.000 0.000 0.000
Pr2 0.118 0.000 0.421
Pr3 0.195 0.000 0.818
Zn1 0.000 0.500 0.500
Zn2 0.052 0.500 0.838
Zn3 0.243 0.500 0.684
Ni1 0.153 0.500 0.263
```

| no. | calculated density (kg/m3) |
| --- | --- |
| 1 | 5448 |
| 2 | 9215 |
| 3 | 8306 |
| 4 | 6740 |